Entry from the Alexandria database: a geometry-optimized Ho4TeCSe2 structure (PBE-GGA).

Unit cell a=3.9494 b=6.9485 c=7.2303 alpha=70.59 beta=90.00 gamma=90.00
Positions (direct):
Ho 0.0000 0.7283 0.7014
Ho 0.0000 0.2717 0.2986
Ho 0.5000 0.7158 0.2942
Ho 0.5000 0.2842 0.7058
Te 0.5000 0.5000 0.0000
C 0.0000 0.5000 0.5000
Se 0.0000 0.0000 0.0000
Se 0.5000 0.0000 0.5000

- calculated volume (Å³/cell) = 187.1
- SG = P2/m, No. 10
- D(E_F) (states/eV/atom) = 0.326
- M_tot (μB per formula unit) = 0.0
- formation energy without anion corrections (eV per atom) = -1.287